{
  "formula": "Ge3BrN",
  "functional": "PBE-GGA",
  "state": "optimized geometry",
  "lattice_angstrom": [[5.147, 0.000, 0.000], [0.000, 5.147, 0.000], [0.000, 0.000, 5.147]],
  "species": ["Ge", "Ge", "Ge", "Br", "N"],
  "frac_coords": [[0.000, 0.500, 0.000], [0.000, 0.000, 0.500], [0.500, 0.000, 0.000], [0.000, 0.000, 0.000], [0.500, 0.500, 0.500]],
  "dft_energy_ev_per_fu": -13.53,
  "space_group": "No. 221",
  "formation_energy_uncorrected_mev_per_atom": 2064,
  "m_tot_mub_per_cell": 0.00,
  "e_above_lowest_polymorph_ev_per_atom": 1.3032,
  "crystal_system": "cubic"
}

{
  "formula": "GeBr2N",
  "functional": "PBE-GGA",
  "state": "optimized geometry",
  "lattice_angstrom": [[6.104, -3.068, 7.954], [8.776, -1.064, 5.639], [6.411, 0.974, 8.240]],
  "species": ["Ge", "Br", "Br", "N"],
  "frac_coords": [[0.500, 0.500, 0.500], [0.886, 0.886, 0.886], [0.114, 0.114, 0.114], [0.000, 0.000, 0.000]],
  "dft_energy_ev_per_fu": -12.78,
  "space_group": "No. 166",
  "formation_energy_uncorrected_mev_per_atom": 877,
  "m_tot_mub_per_cell": 3.00,
  "e_above_lowest_polymorph_ev_per_atom": 0.0000,
  "crystal_system": "trigonal"
}

{
  "formula": "Ge3BrN",
  "functional": "PBE-GGA",
  "state": "optimized geometry",
  "lattice_angstrom": [[-3.814, -0.682, -2.545], [1.032, -4.506, -0.340], [-2.424, -0.846, 3.859]],
  "species": ["Ge", "Ge", "Ge", "Br", "N"],
  "frac_coords": [[0.000, 0.500, 0.000], [0.000, 0.000, 0.500], [0.500, 0.000, 0.000], [0.500, 0.500, 0.500], [0.000, 0.000, 0.000]],
  "dft_energy_ev_per_fu": -20.05,
  "space_group": "No. 221",
  "formation_energy_uncorrected_mev_per_atom": 761,
  "m_tot_mub_per_cell": 0.00,
  "e_above_lowest_polymorph_ev_per_atom": 0.0000,
  "crystal_system": "cubic"
}

{
  "formula": "GeBrN",
  "functional": "PBE-GGA",
  "state": "optimized geometry",
  "lattice_angstrom": [[3.498, 0.002, 0.035], [0.001, 4.324, -0.047], [0.132, -0.169, 12.630]],
  "species": ["Ge", "Ge", "Br", "Br", "N", "N"],
  "frac_coords": [[0.679, 0.247, 0.462], [0.321, 0.753, 0.538], [0.751, 0.764, 0.697], [0.249, 0.236, 0.303], [0.753, 0.727, 0.125], [0.247, 0.273, 0.875]],
  "dft_energy_ev_per_fu": -9.81,
  "space_group": "No. 2",
  "formation_energy_uncorrected_mev_per_atom": 1602,
  "m_tot_mub_per_cell": 5.99,
  "e_above_lowest_polymorph_ev_per_atom": 1.5990,
  "crystal_system": "triclinic"
}

{
  "formula": "Ge2BrN",
  "functional": "PBE-GGA",
  "state": "optimized geometry",
  "lattice_angstrom": [[6.794, 0.000, 0.000], [0.000, 6.794, 0.000], [3.397, 3.397, 3.496]],
  "species": ["Ge", "Ge", "Ge", "Ge", "Br", "Br", "N", "N"],
  "frac_coords": [[0.511, 0.125, 0.250], [0.239, 0.625, 0.250], [0.375, 0.489, 0.750], [0.875, 0.761, 0.750], [0.000, 0.000, 0.000], [0.750, 0.250, 0.500], [0.500, 0.500, 0.000], [0.250, 0.750, 0.500]],
  "dft_energy_ev_per_fu": -17.97,
  "space_group": "No. 122",
  "formation_energy_uncorrected_mev_per_atom": 317,
  "m_tot_mub_per_cell": 0.00,
  "e_above_lowest_polymorph_ev_per_atom": 0.0000,
  "crystal_system": "tetragonal"
}

{
  "formula": "GeBr2N",
  "functional": "PBE-GGA",
  "state": "optimized geometry",
  "lattice_angstrom": [[6.630, 0.000, 0.000], [0.000, 6.630, 0.000], [3.315, 3.315, 4.902]],
  "species": ["Ge", "Ge", "Br", "Br", "Br", "Br", "N", "N"],
  "frac_coords": [[0.000, 0.000, 0.000], [0.750, 0.250, 0.500], [0.375, 0.125, 0.250], [0.375, 0.625, 0.250], [0.375, 0.625, 0.750], [0.875, 0.625, 0.750], [0.500, 0.500, 0.000], [0.250, 0.750, 0.500]],
  "dft_energy_ev_per_fu": -11.20,
  "space_group": "No. 141",
  "formation_energy_uncorrected_mev_per_atom": 1272,
  "m_tot_mub_per_cell": 2.00,
  "e_above_lowest_polymorph_ev_per_atom": 0.3952,
  "crystal_system": "tetragonal"
}

{
  "formula": "GeBrN3",
  "functional": "PBE-GGA",
  "state": "optimized geometry",
  "lattice_angstrom": [[3.859, 0.000, 0.000], [0.000, 3.859, 0.000], [0.000, 0.000, 3.859]],
  "species": ["Ge", "Br", "N", "N", "N"],
  "frac_coords": [[0.000, 0.000, 0.000], [0.500, 0.500, 0.500], [0.000, 0.500, 0.000], [0.000, 0.000, 0.500], [0.500, 0.000, 0.000]],
  "dft_energy_ev_per_fu": -21.47,
  "space_group": "No. 221",
  "formation_energy_uncorrected_mev_per_atom": 1959,
  "m_tot_mub_per_cell": 0.00,
  "crystal_system": "cubic"
}

{
  "formula": "GeBr2N",
  "functional": "PBE-GGA",
  "state": "optimized geometry",
  "lattice_angstrom": [[0.000, 3.550, 3.550], [3.550, 0.000, 3.550], [3.550, 3.550, 0.000]],
  "species": ["Ge", "Br", "Br", "N"],
  "frac_coords": [[0.500, 0.500, 0.500], [0.250, 0.250, 0.250], [0.750, 0.750, 0.750], [0.000, 0.000, 0.000]],
  "dft_energy_ev_per_fu": -12.01,
  "space_group": "No. 225",
  "formation_energy_uncorrected_mev_per_atom": 1069,
  "m_tot_mub_per_cell": 3.00,
  "e_above_lowest_polymorph_ev_per_atom": 0.1919,
  "crystal_system": "cubic"
}

{
  "formula": "GeBr3N",
  "functional": "PBE-GGA",
  "state": "optimized geometry",
  "lattice_angstrom": [[-0.017, -1.639, 5.020], [-2.619, -4.356, -1.432], [4.585, -2.494, -0.799]],
  "species": ["Ge", "Br", "Br", "Br", "N"],
  "frac_coords": [[0.000, 0.000, 0.000], [0.000, 0.500, 0.000], [0.000, 0.000, 0.500], [0.500, 0.000, 0.000], [0.500, 0.500, 0.500]],
  "dft_energy_ev_per_fu": -13.95,
  "space_group": "No. 221",
  "formation_energy_uncorrected_mev_per_atom": 803,
  "m_tot_mub_per_cell": 2.97,
  "e_above_lowest_polymorph_ev_per_atom": 0.0000,
  "crystal_system": "cubic"
}

{
  "formula": "Ge2BrN",
  "functional": "PBE-GGA",
  "state": "optimized geometry",
  "lattice_angstrom": [[3.375, -2.544, -1.953], [1.531, -3.854, 2.117], [-0.979, -4.185, -1.790]],
  "species": ["Ge", "Ge", "Br", "N"],
  "frac_coords": [[0.250, 0.250, 0.250], [0.750, 0.750, 0.750], [0.500, 0.500, 0.500], [0.000, 0.000, 0.000]],
  "dft_energy_ev_per_fu": -14.64,
  "space_group": "No. 225",
  "formation_energy_uncorrected_mev_per_atom": 1148,
  "m_tot_mub_per_cell": 0.00,
  "e_above_lowest_polymorph_ev_per_atom": 0.8307,
  "crystal_system": "cubic"
}

{
  "formula": "GeBr3N",
  "functional": "PBE-GGA",
  "state": "optimized geometry",
  "lattice_angstrom": [[4.716, 0.000, 0.000], [0.000, 4.716, 0.000], [0.000, 0.000, 4.716]],
  "species": ["Ge", "Br", "Br", "Br", "N"],
  "frac_coords": [[0.500, 0.500, 0.500], [0.000, 0.500, 0.000], [0.000, 0.000, 0.500], [0.500, 0.000, 0.000], [0.000, 0.000, 0.000]],
  "dft_energy_ev_per_fu": -13.47,
  "space_group": "No. 221",
  "formation_energy_uncorrected_mev_per_atom": 899,
  "m_tot_mub_per_cell": 0.00,
  "e_above_lowest_polymorph_ev_per_atom": 0.0961,
  "crystal_system": "cubic"
}

{
  "formula": "Nd4GeBr2N",
  "functional": "PBE-GGA",
  "state": "optimized geometry",
  "lattice_angstrom": [[3.993, 0.000, 0.000], [0.000, 7.008, 0.099], [0.000, -2.498, 7.408]],
  "species": ["Nd", "Nd", "Nd", "Nd", "Ge", "Br", "Br", "N"],
  "frac_coords": [[0.500, 0.274, 0.194], [0.500, 0.726, 0.806], [0.000, 0.296, 0.812], [0.000, 0.704, 0.188], [0.000, 0.000, 0.000], [0.500, 0.000, 0.500], [0.000, 0.500, 0.500], [0.500, 0.500, 0.000]],
  "dft_energy_ev_per_fu": -45.17,
  "space_group": "No. 10",
  "formation_energy_uncorrected_mev_per_atom": -1227,
  "m_tot_mub_per_cell": 0.00,
  "crystal_system": "monoclinic"
}

{
  "formula": "Nd6GeBr3N2",
  "functional": "PBE-GGA",
  "state": "optimized geometry",
  "lattice_angstrom": [[3.921, 0.000, 0.000], [0.000, 8.657, -0.292], [-1.961, -3.089, 8.872]],
  "species": ["Nd", "Nd", "Nd", "Nd", "Nd", "Nd", "Ge", "Br", "Br", "Br", "N", "N"],
  "frac_coords": [[0.334, 0.857, 0.668], [0.686, 0.548, 0.371], [0.666, 0.143, 0.332], [0.031, 0.253, 0.063], [0.969, 0.747, 0.937], [0.314, 0.452, 0.629], [0.500, 0.000, 0.000], [0.500, 0.500, 0.000], [0.837, 0.172, 0.673], [0.163, 0.828, 0.327], [0.827, 0.659, 0.653], [0.173, 0.341, 0.347]],
  "dft_energy_ev_per_fu": -70.17,
  "space_group": "No. 12",
  "formation_energy_uncorrected_mev_per_atom": -1273,
  "m_tot_mub_per_cell": 0.00,
  "crystal_system": "monoclinic"
}

{
  "formula": "NdGeBrN2",
  "functional": "PBE-GGA",
  "state": "optimized geometry",
  "lattice_angstrom": [[-1.905, -1.182, 2.897], [5.857, -3.874, 2.270], [1.031, 7.177, 3.607]],
  "species": ["Nd", "Nd", "Ge", "Ge", "Br", "Br", "N", "N", "N", "N"],
  "frac_coords": [[0.250, 0.703, 0.972], [0.750, 0.297, 0.028], [0.250, 0.546, 0.383], [0.750, 0.454, 0.617], [0.250, 0.026, 0.787], [0.750, 0.974, 0.213], [0.750, 0.617, 0.466], [0.250, 0.383, 0.534], [0.750, 0.520, 0.852], [0.250, 0.480, 0.148]],
  "dft_energy_ev_per_fu": -31.43,
  "space_group": "No. 11",
  "formation_energy_uncorrected_mev_per_atom": -745,
  "m_tot_mub_per_cell": 0.00,
  "crystal_system": "monoclinic"
}

| no. | calculated density (g cm⁻³) | volume (A^3/atom) |
| --- | --- | --- |
| 1 | 3.8 | 27.28 |
| 2 | 2.8 | 36.53 |
| 3 | 5.2 | 19.92 |
| 4 | 2.9 | 31.83 |
| 5 | 4.9 | 20.17 |
| 6 | 3.8 | 26.94 |
| 7 | 5.6 | 11.49 |
| 8 | 4.6 | 22.38 |
| 9 | 3.7 | 29.45 |
| 10 | 5.6 | 17.84 |
| 11 | 5.2 | 20.97 |
| 12 | 6.6 | 26.03 |
| 13 | 6.7 | 24.80 |
| 14 | 5.1 | 21.32 |